# LiPbF5

A relaxed structure of LiPbF5 (GGA-PBE, Alexandria).

The crystal system is triclinic. Its calculated total energy is -61.2 eV/cell. The value obtained for the density of states at the Fermi level is 0.0000 states/eV/atom. The value obtained for the uncorrected formation energy is -2232 meV/atom.

The space group is P-1 (No. 2) and the conventional cell measures 5.6836, 5.6853 and 8.1414 Å, with angles of 107.56, 107.44 and 97.92 degrees. The distinct sites, in fractional coordinates, are Li at (0.0848, 0.3350, 0.2500), Pb at (0.5000, 0.0000, 0.5000), Pb at (0.5000, 0.5000, 0.0000), F at (0.1835, 0.0843, 0.3462), F at (0.1998, 0.3230, 0.0502), F at (0.2620, 0.6613, 0.8453), F at (0.2725, 0.6498, 0.4496) and F at (0.4164, 0.1661, 0.7500).


# LiPbF2

A relaxed structure of LiPbF2 (GGA-PBE, Alexandria).

The crystal system is monoclinic. For the offset from the most stable computed form, the calculation gives 21 meV per atom. Its calculated total energy is -36.0 eV/cell. The value obtained for the density of states at the Fermi level is 0.1698 states/eV/atom. The value obtained for the uncorrected formation energy is -2162 meV/atom.

The space group is P2_1 (No. 4) and the conventional cell measures 3.2558, 5.1357 and 7.6830 Å, with angles of 90.00, 90.06 and 90.00 degrees. The distinct sites, in fractional coordinates, are Li at (0.2494, 0.0000, 0.0779), Pb at (0.2507, 0.0925, 0.5915), F at (0.2488, 0.2375, 0.2660) and F at (0.2507, 0.2721, 0.8970).